1.
PmNd2MgN | PBE | relaxed

Properties
- V: 26.018 Å³ per atom
- Crystal system: tetragonal
- Total moment: 0.00 μB/f.u.
- DFT total energy: -5.44 eV/atom
- Energy relative to the elements, uncorrected: -0.598 eV per atom

```
5
Lattice="5.089 0.000 0.000 0.000 5.089 0.000 0.000 0.000 5.023" Properties=species:S:1:pos:R:3 pbc="T T T"
Pm 0.000 0.000 0.000
Nd 0.000 2.545 2.511
Nd 2.545 0.000 2.511
Mg 2.545 2.545 0.000
N 0.000 0.000 2.511
```

---

2.
Sm8Dy3Pu | PBE | relaxed

Properties
- V: 36.063 Å³ per atom
- E_form: 555 meV/atom
- Crystal system: tetragonal
- Total moment: 4.59 μB/f.u.
- DFT total energy: -4.94 eV/atom

```
12
Lattice="-4.340 4.340 5.744 4.340 -4.340 5.744 4.340 4.340 -5.744" Properties=species:S:1:pos:R:3 pbc="T T T"
Sm 3.255 3.255 -2.709
Sm 2.033 -2.033 5.453
Sm 2.306 2.306 0.291
Sm 1.085 1.085 3.036
Sm 1.085 -1.085 8.453
Sm -2.033 2.033 5.453
Sm 2.033 2.033 6.036
Sm -1.085 1.085 8.453
Dy 0.000 0.000 0.000
Dy 4.340 0.000 2.872
Dy 0.000 4.340 2.872
Pu 0.000 0.000 5.744
```